# 1
HoSi2NiPd | the Open Quantum Materials Database | PBE-GGA | optimized geometry; DFT total energy = -30.53 eV per formula unit; V = 16.008 A^3/atom
1.0
5.472 -0.545 1.398
1.397 -2.442 4.927
-3.360 -1.058 -4.448
Ho Ni Pd Si
1 1 1 2
direct
0.000 0.000 0.000
0.250 0.750 0.500
0.750 0.250 0.500
0.381 0.381 0.000
0.619 0.619 0.000

***

# 2
Ho3Ni2Sn3Pd | the Open Quantum Materials Database | PBE-GGA | optimized geometry; DFT total energy = -48.74 eV per formula unit; V = 20.664 A^3/atom
1.0
-3.121 -4.748 4.595
7.272 0.173 -0.693
0.217 2.719 2.956
Ho Ni Pd Sn
3 2 1 3
direct
0.410 0.000 0.500
0.000 0.410 0.500
0.590 0.590 0.500
0.667 0.333 0.000
0.333 0.667 0.000
0.000 0.000 0.500
0.733 0.000 0.000
0.267 0.267 0.000
0.000 0.733 0.000

***

# 3
PmHoNi | the Open Quantum Materials Database | PBE-GGA | optimized geometry; DFT total energy = -15.24 eV per formula unit; V = 25.639 A^3/atom; calculated formation energy = -0.12 eV/atom
1.0
0.000 3.375 3.375
3.375 0.000 3.375
3.375 3.375 0.000
Ho Ni Pm
1 1 1
direct
0.250 0.250 0.250
0.000 0.000 0.000
0.750 0.750 0.750

***

# 4
PrHoNi | the Open Quantum Materials Database | PBE-GGA | optimized geometry; DFT total energy = -15.19 eV per formula unit; V = 25.991 A^3/atom; calculated formation energy = -0.09 eV/atom
1.0
0.000 3.391 3.391
3.391 0.000 3.391
3.391 3.391 0.000
Ho Ni Pr
1 1 1
direct
0.250 0.250 0.250
0.000 0.000 0.000
0.750 0.750 0.750

***

# 5
PrHo2Ni9 | the Open Quantum Materials Database | PBE-GGA | optimized geometry; DFT total energy = -68.74 eV per formula unit; V = 14.548 A^3/atom; calculated formation energy = -0.39 eV/atom
1.0
2.496 1.441 8.088
-2.496 1.441 8.088
0.000 -2.882 8.088
Ho Ni Pr
2 9 1
direct
0.140 0.140 0.140
0.860 0.860 0.860
0.584 0.584 0.082
0.333 0.333 0.333
0.918 0.416 0.416
0.416 0.918 0.416
0.500 0.500 0.500
0.584 0.082 0.584
0.082 0.584 0.584
0.667 0.667 0.667
0.416 0.416 0.918
0.000 0.000 0.000

***

# 6
Pr3Ho3NiTe2 | the Open Quantum Materials Database | PBE-GGA | optimized geometry; DFT total energy = -46.66 eV per formula unit; V = 28.179 A^3/atom; relative energy among the computed polymorphs = 0 meV per atom
1.0
8.512 0.000 0.000
-4.256 7.371 0.000
0.000 0.000 4.042
Ho Ni Pr Te
3 1 3 2
direct
0.767 0.000 0.500
0.233 0.233 0.500
0.000 0.767 0.500
0.000 0.000 0.000
0.405 0.000 0.000
0.000 0.405 0.000
0.595 0.595 0.000
0.667 0.333 0.500
0.333 0.667 0.500